VASP calculation (PBE) on a relaxed structure of Er8Ge3SbSe4.

abc: 8.272 8.255 8.272
angles: 120.07 120.00 90.00
Atoms (fractional coordinates):
1 Sb 0.000 0.500 0.000
2 Er 0.735 0.741 0.988
3 Er 0.745 0.735 0.490
4 Er 0.253 0.741 0.988
5 Er 0.747 0.259 0.012
6 Er 0.253 0.741 0.506
7 Er 0.255 0.265 0.510
8 Er 0.265 0.259 0.012
9 Er 0.747 0.259 0.494
10 Ge 0.500 0.500 0.000
11 Ge 0.500 0.500 0.500
12 Ge 0.000 0.500 0.500
13 Se 0.500 0.000 0.000
14 Se 0.000 0.000 0.000
15 Se 0.500 0.000 0.500
16 Se 0.000 0.000 0.500

Crystal system: trigonal
Energy relative to the elements, uncorrected in eV per formula unit: -22.09
DFT total energy in eV for the cell shown: -90.51

***

VASP calculation (PBE) on a relaxed structure of Er4GeSbTe2.

abc: 4.273 7.440 7.463
angles: 109.23 90.00 90.00
Atoms (fractional coordinates):
1 Sb 0.000 0.000 0.000
2 Er 0.500 0.258 0.230
3 Er 0.500 0.742 0.770
4 Er 0.000 0.271 0.777
5 Er 0.000 0.729 0.223
6 Ge 0.500 0.500 0.000
7 Te 0.500 0.000 0.500
8 Te 0.000 0.500 0.500

Crystal system: monoclinic
Energy relative to the elements, uncorrected in eV per formula unit: -9.59
DFT total energy in eV for the cell shown: -42.87

***

| no. | D(E_F) (states/eV/f.u.) |
| --- | --- |
| 1 | 3.34 |
| 2 | 1.50 |